A plane-wave DFT calculation with GGA-PBE was carried out for Ta6Sn2W after structural relaxation.

Calculated values
**ΔH_f (0 K)**: 5.7 kJ/mol of atoms
**Symmetry**: No. 2

Lattice parameters (Å, degrees): 2.9495 10.0517 8.6657 54.46 70.09 54.13
Atoms (fractional coordinates):
Sn (0.7107, 0.8332, 0.8336)
Sn (0.2893, 0.1668, 0.1664)
Ta (0.8505, 0.5285, 0.8077)
Ta (0.1495, 0.4715, 0.1923)
W (0.5000, 0.5000, 0.5000)
Ta (0.9356, 0.8081, 0.1638)
Ta (0.1391, 0.8360, 0.4719)
Ta (0.0644, 0.1919, 0.8362)
Ta (0.8609, 0.1640, 0.5281)